(1)
VASP calculation (PBE) on a geometry-optimized LiAg2As2 structure.

CIF file:
```
data_LiAg2As2
_chemical_formula_sum 'Li2 Ag4 As4'
_cell_length_a 4.325
_cell_length_b 4.325
_cell_length_c 11.232
_cell_angle_alpha 90.00
_cell_angle_beta 90.00
_cell_angle_gamma 90.00
_space_group_name_H-M_alt 'I 4/m m m'
_space_group_IT_number 139
_space_group_name_Hall '-I 4 2'
loop_
_atom_site_label
_atom_site_type_symbol
_atom_site_fract_x
_atom_site_fract_y
_atom_site_fract_z
_atom_site_occupancy
Li1 Li 0.000 0.000 0.000 1
Ag1 Ag 0.000 0.500 0.250 1
As1 As 0.000 0.000 0.393 1
```

## Properties
The calculation puts the energy relative to the lowest polymorph listed for this composition at 0 meV per atom. The value obtained for the formation energy is -0.086 eV/atom.

=====

(2)
VASP calculation (PBE) on a geometry-optimized LiAgAs2 structure.

CIF file:
```
data_LiAgAs2
_chemical_formula_sum 'Li2 Ag2 As4'
_cell_length_a 4.183
_cell_length_b 4.225
_cell_length_c 8.094
_cell_angle_alpha 90.00
_cell_angle_beta 90.00
_cell_angle_gamma 90.00
_space_group_name_H-M_alt 'I m m m'
_space_group_IT_number 71
_space_group_name_Hall '-I 2 2'
loop_
_atom_site_label
_atom_site_type_symbol
_atom_site_fract_x
_atom_site_fract_y
_atom_site_fract_z
_atom_site_occupancy
Li1 Li 0.000 0.000 0.000 1
Ag1 Ag 0.000 0.000 0.500 1
As1 As 0.000 0.500 0.250 1
```

## Properties
The calculation puts the energy relative to the lowest polymorph listed for this composition at 87 meV per atom. The value obtained for the formation energy is -0.093 eV/atom.

=====

(3)
VASP calculation (PBE) on a geometry-optimized Li3AgAs2 structure.

CIF file:
```
data_Li3AgAs2
_chemical_formula_sum 'Li12 Ag4 As8'
_cell_length_a 5.415
_cell_length_b 13.940
_cell_length_c 5.540
_cell_angle_alpha 90.00
_cell_angle_beta 90.00
_cell_angle_gamma 90.00
_space_group_name_H-M_alt 'I b a m'
_space_group_IT_number 72
_space_group_name_Hall '-I 2 2c'
loop_
_atom_site_label
_atom_site_type_symbol
_atom_site_fract_x
_atom_site_fract_y
_atom_site_fract_z
_atom_site_occupancy
Li1 Li 0.000 0.000 0.250 1
Li2 Li 0.230 0.322 0.000 1
Ag1 Ag 0.000 0.500 0.250 1
As1 As 0.235 0.132 0.000 1
```

## Properties
The value obtained for the formation energy is -0.392 eV/atom.

=====

(4)
VASP calculation (PBE) on a geometry-optimized LiAgAs2 structure.

CIF file:
```
data_LiAgAs2
_chemical_formula_sum 'Li1 Ag1 As2'
_cell_length_a 2.935
_cell_length_b 4.104
_cell_length_c 5.950
_cell_angle_alpha 90.00
_cell_angle_beta 90.00
_cell_angle_gamma 90.00
_space_group_name_H-M_alt 'P m m m'
_space_group_IT_number 47
_space_group_name_Hall '-P 2 2'
loop_
_atom_site_label
_atom_site_type_symbol
_atom_site_fract_x
_atom_site_fract_y
_atom_site_fract_z
_atom_site_occupancy
Li1 Li 0.000 0.000 0.000 1
Ag1 Ag 0.000 0.000 0.500 1
As1 As 0.500 0.500 0.217 1
```

## Properties
The calculation puts the energy relative to the lowest polymorph listed for this composition at 43 meV per atom. The value obtained for the formation energy is -0.137 eV/atom.

=====

(5)
VASP calculation (PBE) on a geometry-optimized Li2Ag2As structure.

CIF file:
```
data_Li2Ag2As
_chemical_formula_sum 'Li4 Ag4 As2'
_cell_length_a 3.672
_cell_length_b 3.672
_cell_length_c 13.469
_cell_angle_alpha 90.00
_cell_angle_beta 90.00
_cell_angle_gamma 90.00
_space_group_name_H-M_alt 'I 4/m m m'
_space_group_IT_number 139
_space_group_name_Hall '-I 4 2'
loop_
_atom_site_label
_atom_site_type_symbol
_atom_site_fract_x
_atom_site_fract_y
_atom_site_fract_z
_atom_site_occupancy
Li1 Li 0.000 0.500 0.250 1
Ag1 Ag 0.000 0.000 0.102 1
As1 As 0.000 0.000 0.500 1
```

## Properties
The calculation puts the energy relative to the lowest polymorph listed for this composition at 312 meV per atom. The value obtained for the formation energy is 0.149 eV/atom.

=====

(6)
VASP calculation (PBE) on a geometry-optimized Li2AgAs structure.

CIF file:
```
data_Li2AgAs
_chemical_formula_sum 'Li6 Ag3 As3'
_cell_length_a 2.9626
_cell_length_b 2.9626
_cell_length_c 26.1206
_cell_angle_alpha 90.00
_cell_angle_beta 90.00
_cell_angle_gamma 120.00
_space_group_name_H-M_alt 'R 3 m'
_space_group_IT_number 160
_space_group_name_Hall 'R 3 -2"'
loop_
_atom_site_label
_atom_site_type_symbol
_atom_site_fract_x
_atom_site_fract_y
_atom_site_fract_z
_atom_site_occupancy
Li1 Li 0.0000 0.0000 0.0000 1
Li2 Li 0.0000 0.0000 0.1748 1
Ag1 Ag 0.0000 0.0000 0.4211 1
As1 As 0.0000 0.0000 0.5872 1
```

## Properties
The value obtained for the formation energy is -0.287 eV/atom.

=====

(7)
VASP calculation (PBE) on a geometry-optimized LiAgAs2 structure.

CIF file:
```
data_LiAgAs2
_chemical_formula_sum 'Li1 Ag1 As2'
_cell_length_a 2.946
_cell_length_b 4.241
_cell_length_c 5.942
_cell_angle_alpha 90.00
_cell_angle_beta 91.08
_cell_angle_gamma 90.00
_space_group_name_H-M_alt 'P 1 2/m 1'
_space_group_IT_number 10
_space_group_name_Hall '-P 2y'
loop_
_atom_site_label
_atom_site_type_symbol
_atom_site_fract_x
_atom_site_fract_y
_atom_site_fract_z
_atom_site_occupancy
Li1 Li 0.000 0.000 0.000 1
Ag1 Ag 0.500 0.000 0.500 1
As1 As 0.491 0.500 0.784 1
```

## Properties
The calculation puts the energy relative to the lowest polymorph listed for this composition at 0 meV per atom. The value obtained for the formation energy is -0.181 eV/atom.

=====

(8)
VASP calculation (PBE) on a geometry-optimized Li3AgAs structure.

CIF file:
```
data_Li3AgAs
_chemical_formula_sum 'Li3 Ag1 As1'
_cell_length_a 4.773
_cell_length_b 4.773
_cell_length_c 4.773
_cell_angle_alpha 90.00
_cell_angle_beta 90.00
_cell_angle_gamma 90.00
_space_group_name_H-M_alt 'P m -3 m'
_space_group_IT_number 221
_space_group_name_Hall '-P 4 2 3'
loop_
_atom_site_label
_atom_site_type_symbol
_atom_site_fract_x
_atom_site_fract_y
_atom_site_fract_z
_atom_site_occupancy
Li1 Li 0.000 0.000 0.500 1
Ag1 Ag 0.500 0.500 0.500 1
As1 As 0.000 0.000 0.000 1
```

## Properties
The calculation puts the energy relative to the lowest polymorph listed for this composition at 216 meV per atom. The value obtained for the formation energy is -0.196 eV/atom.

=====

no.,theoretical density (g/cm³)
1,5.9
2,6.1
3,4.4
4,6.1
5,5.6
6,4.9
7,5.9
8,3.1